First-principles (PBE) data for a relaxed structure of Ca2LaCdN, as listed in Alexandria.

Cell and atoms, written as CIF:
```
data_Ca2LaCdN
_symmetry_space_group_name_H-M 'P 4/m m m'
_symmetry_Int_Tables_number 123
_symmetry_space_group_name_Hall '-P 4 2'
_cell_length_a 5.087
_cell_length_b 5.087
_cell_length_c 4.939
_cell_angle_alpha 90.00
_cell_angle_beta 90.00
_cell_angle_gamma 90.00
loop_
_atom_site_label
_atom_site_type_symbol
_atom_site_fract_x
_atom_site_fract_y
_atom_site_fract_z
Ca1 Ca 0.000 0.500 0.000
La1 La 0.000 0.000 0.500
Cd1 Cd 0.500 0.500 0.500
N1 N 0.000 0.000 0.000
```

Summary:
- ΔE_f (raw): -633 meV/atom
- Density of states at the Fermi level: 3.97 states/eV per cell
- Total moment: 0.00 μB per cell
- Raw total energy: -4.267 eV per atom
- Crystal system: tetragonal